{
  "formula": "LiIn2As",
  "functional": "GGA-PBEsol",
  "state": "relaxed",
  "delta_e_f_ev_per_atom": -0.199,
  "space_group": "No. 8",
  "volume_a3_per_cell": 93,
  "lattice": [[-2.727, -2.641, -0.411], [4.005, -1.019, -2.284], [0.578, -1.501, 5.801]],
  "species": ["In", "As", "In", "Li"],
  "frac_coords": [[0.271, 0.542, 0.738], [0.735, 0.471, 0.380], [0.061, 0.122, 0.030], [0.433, 0.865, 0.351]]
}

=====

{
  "formula": "Li3InAs",
  "functional": "GGA-PBEsol",
  "state": "relaxed",
  "delta_e_f_ev_per_atom": -0.262,
  "space_group": "No. 221",
  "volume_a3_per_cell": 109,
  "lattice": [[-4.404, 1.493, 1.082], [-1.810, -4.031, -1.808], [0.348, -2.078, 4.284]],
  "species": ["Li", "Li", "In", "As", "Li"],
  "frac_coords": [[0.500, 0.000, 0.000], [0.000, 0.500, 0.000], [0.500, 0.500, 0.500], [0.000, 0.000, 0.000], [0.000, 0.000, 0.500]]
}

=====

{
  "formula": "LiIn2As",
  "functional": "GGA-PBEsol",
  "state": "relaxed",
  "delta_e_f_ev_per_atom": -0.220,
  "space_group": "No. 122",
  "volume_a3_per_cell": 194,
  "lattice": [[-1.348, 4.974, -0.103], [-4.775, 1.285, -4.459], [-4.951, 1.416, 4.220]],
  "species": ["Li", "In", "Li", "In", "In", "As", "In", "As"],
  "frac_coords": [[0.250, 0.500, 0.500], [0.695, 0.430, 0.930], [0.500, 0.000, 0.000], [0.375, 0.930, 0.570], [0.875, 0.070, 0.430], [0.000, 0.000, 0.000], [0.055, 0.570, 0.070], [0.750, 0.500, 0.500]]
}